# 1
# RbNaAsPd PBE relaxed
data_RbNaAsPd
_chemical_formula_sum 'Rb1 Na1 As1 Pd1'
_space_group_name_H-M_alt 'P 1'
_space_group_IT_number 1
_cell_length_a 4.478
_cell_length_b 4.478
_cell_length_c 7.170
_cell_angle_alpha 71.80
_cell_angle_beta 71.80
_cell_angle_gamma 60.00
loop_
_space_group_symop_operation_xyz
'x,y,z'
loop_
_atom_site_label
_atom_site_fract_x
_atom_site_fract_y
_atom_site_fract_z
_atom_site_occupancy
As1 0.610 0.610 0.170 1
Rb1 0.824 0.824 0.528 1
Na1 0.013 0.013 0.961 1
Pd1 0.279 0.279 0.164 1
# V ... 29.0 Å³/atom
# Energy of formation from the pure elements ... -333 meV per atom
# Calculated total energy ... -0.1237 Ha/atom

=====

# 2
# Tl2FeAgCl6 PBE relaxed
data_Tl2FeAgCl6
_chemical_formula_sum 'Tl4 Fe2 Ag2 Cl12'
_space_group_name_H-M_alt 'P 1'
_space_group_IT_number 1
_cell_length_a 7.122
_cell_length_b 7.236
_cell_length_c 10.174
_cell_angle_alpha 90.00
_cell_angle_beta 89.82
_cell_angle_gamma 90.00
loop_
_space_group_symop_operation_xyz
'x,y,z'
loop_
_atom_site_label
_atom_site_fract_x
_atom_site_fract_y
_atom_site_fract_z
_atom_site_occupancy
Cl1 0.306 0.728 0.471 1
Tl1 0.510 0.550 0.751 1
Fe1 0.000 0.500 0.000 1
Cl2 0.228 0.196 0.470 1
Cl3 0.560 0.007 0.266 1
Tl2 0.990 0.050 0.749 1
Cl4 0.772 0.804 0.530 1
Ag1 0.500 0.000 0.000 1
Cl5 0.060 0.493 0.766 1
Fe2 0.500 0.000 0.500 1
Cl6 0.806 0.772 0.971 1
Cl7 0.728 0.304 0.970 1
Cl8 0.940 0.507 0.234 1
Tl3 0.490 0.450 0.249 1
Ag2 0.000 0.500 0.500 1
Cl9 0.440 0.993 0.734 1
Tl4 0.010 0.950 0.251 1
Cl10 0.194 0.228 0.029 1
Cl11 0.694 0.272 0.529 1
Cl12 0.272 0.696 0.030 1
# V ... 26.2 Å³/atom
# Formation energy without anion corrections ... -0.7977 eV/atom
# Calculated total energy ... -0.1290 Ha/atom

=====

# 3
# LaTi4Re2 PBE relaxed
data_LaTi4Re2
_chemical_formula_sum 'La1 Ti4 Re2'
_space_group_name_H-M_alt 'P 1'
_space_group_IT_number 1
_cell_length_a 4.894
_cell_length_b 4.894
_cell_length_c 7.112
_cell_angle_alpha 69.87
_cell_angle_beta 69.87
_cell_angle_gamma 90.00
loop_
_space_group_symop_operation_xyz
'x,y,z'
loop_
_atom_site_label
_atom_site_fract_x
_atom_site_fract_y
_atom_site_fract_z
_atom_site_occupancy
Ti1 0.500 0.000 0.000 1
Re1 0.607 0.607 0.786 1
La1 0.000 0.000 0.000 1
Ti2 0.210 0.210 0.580 1
Ti3 0.000 0.500 0.000 1
Re2 0.393 0.393 0.214 1
Ti4 0.790 0.790 0.420 1
# V ... 21.3 Å³/atom
# Energy of formation from the pure elements ... 1205 meV per atom
# Calculated total energy ... -0.2781 Ha/atom

=====

# 4
# VZn2AsC PBE relaxed
data_VZn2AsC
_chemical_formula_sum 'V1 Zn2 As1 C1'
_space_group_name_H-M_alt 'P 1'
_space_group_IT_number 1
_cell_length_a 3.763
_cell_length_b 5.780
_cell_length_c 3.763
_cell_angle_alpha 90.00
_cell_angle_beta 90.00
_cell_angle_gamma 90.00
loop_
_space_group_symop_operation_xyz
'x,y,z'
loop_
_atom_site_label
_atom_site_fract_x
_atom_site_fract_y
_atom_site_fract_z
_atom_site_occupancy
Zn1 0.000 0.000 0.500 1
C1 0.000 0.000 0.000 1
Zn2 0.500 0.000 0.000 1
V1 0.500 0.500 0.500 1
As1 0.000 0.500 0.000 1
# V ... 16.4 Å³/atom
# Energy of formation from the pure elements ... 883 meV per atom
# Calculated total energy ... -0.1553 Ha/atom